Version a
A relaxed structure of LiMnIN2, computed with PBE-GGA.

Results
Calculated volume ... 15.39 Å³ per atom
Theoretical density ... 4.7 g/cm³

```
data_LiMnIN2
_cell_length_a 3.669
_cell_length_b 3.669
_cell_length_c 5.716
_cell_angle_alpha 90.00
_cell_angle_beta 90.00
_cell_angle_gamma 90.00
_symmetry_space_group_name_H-M 'P 1'
_symmetry_Int_Tables_number 1
_symmetry_space_group_name_Hall 'P 1'
loop_
_atom_site_label
_atom_site_type_symbol
_atom_site_fract_x
_atom_site_fract_y
_atom_site_fract_z
Li1 Li 0.000 0.000 0.000
Mn1 Mn 0.500 0.500 0.500
I1 I 0.500 0.500 0.000
N1 N 0.000 0.500 0.500
N2 N 0.500 0.000 0.500
```

---

Version b
A relaxed structure of LiMnIN2, computed with PBE-GGA.

Results
Calculated volume ... 14.57 Å³ per atom
Theoretical density ... 4.9 g/cm³

```
data_LiMnIN2
_cell_length_a 3.750
_cell_length_b 3.750
_cell_length_c 5.180
_cell_angle_alpha 90.00
_cell_angle_beta 90.00
_cell_angle_gamma 90.00
_symmetry_space_group_name_H-M 'P 1'
_symmetry_Int_Tables_number 1
_symmetry_space_group_name_Hall 'P 1'
loop_
_atom_site_label
_atom_site_type_symbol
_atom_site_fract_x
_atom_site_fract_y
_atom_site_fract_z
Li1 Li 0.000 0.000 0.000
Mn1 Mn 0.500 0.500 0.500
I1 I 0.000 0.000 0.500
N1 N 0.000 0.500 0.000
N2 N 0.500 0.000 0.000
```

---

Most stable one: version a, least stable one: version b.

---

Version a
A relaxed structure of LiMnI2N, computed with PBE-GGA.

Results
Calculated volume ... 23.92 Å³ per atom
Theoretical density ... 4.6 g/cm³

```
data_LiMnI2N
_cell_length_a 5.728
_cell_length_b 5.728
_cell_length_c 3.644
_cell_angle_alpha 90.00
_cell_angle_beta 90.00
_cell_angle_gamma 90.00
_symmetry_space_group_name_H-M 'P 1'
_symmetry_Int_Tables_number 1
_symmetry_space_group_name_Hall 'P 1'
loop_
_atom_site_label
_atom_site_type_symbol
_atom_site_fract_x
_atom_site_fract_y
_atom_site_fract_z
Li1 Li 0.000 0.000 0.000
Mn1 Mn 0.500 0.500 0.500
I1 I 0.000 0.500 0.500
I2 I 0.500 0.000 0.500
N1 N 0.500 0.500 0.000
```

---

Version b
A relaxed structure of LiMnI2N, computed with PBE-GGA.

Results
Calculated volume ... 21.89 Å³ per atom
Theoretical density ... 5.0 g/cm³

```
data_LiMnI2N
_cell_length_a 5.363
_cell_length_b 5.363
_cell_length_c 3.805
_cell_angle_alpha 90.00
_cell_angle_beta 90.00
_cell_angle_gamma 90.00
_symmetry_space_group_name_H-M 'P 1'
_symmetry_Int_Tables_number 1
_symmetry_space_group_name_Hall 'P 1'
loop_
_atom_site_label
_atom_site_type_symbol
_atom_site_fract_x
_atom_site_fract_y
_atom_site_fract_z
Li1 Li 0.000 0.000 0.000
Mn1 Mn 0.500 0.500 0.500
I1 I 0.000 0.500 0.000
I2 I 0.500 0.000 0.000
N1 N 0.000 0.000 0.500
```

---

Most stable one: version a, least stable one: version b.